1.
Computed, not measured: crystalline RbPuAs at its relaxed geometry at the PBE-GGA level of DFT.

Structure (CIF):
```
data_RbPuAs
_chemical_formula_sum 'Rb4 Pu4 As4'
_cell_length_a 9.388
_cell_length_b 4.046
_cell_length_c 12.825
_cell_angle_alpha 90.00
_cell_angle_beta 101.80
_cell_angle_gamma 90.00
_space_group_name_H-M_alt 'C 1 2/m 1'
_space_group_IT_number 12
loop_
_space_group_symop_operation_xyz
'x,y,z'
'-x,-y,-z'
'-x,y,-z'
'x,-y,z'
'x+1/2,y+1/2,z'
'-x+1/2,-y+1/2,-z'
'-x+1/2,y+1/2,-z'
'x+1/2,-y+1/2,z'
loop_
_atom_site_label
_atom_site_type_symbol
_atom_site_fract_x
_atom_site_fract_y
_atom_site_fract_z
_atom_site_occupancy
Rb1 Rb 0.165 0.000 0.179 1
Pu1 Pu 0.119 0.500 0.450 1
As1 As 0.114 0.000 0.633 1
```

Calculated values
E: -85.47 eV/cell

2.
Computed, not measured: crystalline RbPuAs2 at its relaxed geometry at the PBE-GGA level of DFT.

Structure (CIF):
```
data_RbPuAs2
_chemical_formula_sum 'Rb3 Pu3 As6'
_cell_length_a 4.3432
_cell_length_b 4.3432
_cell_length_c 23.5217
_cell_angle_alpha 90.00
_cell_angle_beta 90.00
_cell_angle_gamma 120.00
_space_group_name_H-M_alt 'R -3 m'
_space_group_IT_number 166
_space_group_name_Hall '-R 3 2"'
loop_
_atom_site_label
_atom_site_type_symbol
_atom_site_fract_x
_atom_site_fract_y
_atom_site_fract_z
_atom_site_occupancy
Rb1 Rb 0.0000 0.0000 0.0000 1
Pu1 Pu 0.0000 0.0000 0.5000 1
As1 As 0.0000 0.0000 0.2242 1
```

Calculated values
E: -79.78 eV/cell

3.
Computed, not measured: crystalline RbPuAs2 at its relaxed geometry at the PBE-GGA level of DFT.

Structure (CIF):
```
data_RbPuAs2
_chemical_formula_sum 'Rb1 Pu1 As2'
_cell_length_a 3.937
_cell_length_b 3.937
_cell_length_c 7.409
_cell_angle_alpha 90.00
_cell_angle_beta 90.00
_cell_angle_gamma 90.00
_space_group_name_H-M_alt 'P 4/m m m'
_space_group_IT_number 123
_space_group_name_Hall '-P 4 2'
loop_
_atom_site_label
_atom_site_type_symbol
_atom_site_fract_x
_atom_site_fract_y
_atom_site_fract_z
_atom_site_occupancy
Rb1 Rb 0.000 0.000 0.000 1
Pu1 Pu 0.000 0.000 0.500 1
As1 As 0.500 0.500 0.330 1
```

Calculated values
E: -27.02 eV/cell

4.
Computed, not measured: crystalline Rb2PuAsS4 at its relaxed geometry at the PBE-GGA level of DFT.

Structure (CIF):
```
data_Rb2PuAsS4
_chemical_formula_sum 'Rb8 Pu4 As4 S16'
_cell_length_a 8.410
_cell_length_b 8.517
_cell_length_c 11.955
_cell_angle_alpha 90.00
_cell_angle_beta 90.00
_cell_angle_gamma 90.00
_space_group_name_H-M_alt 'I m m a'
_space_group_IT_number 74
_space_group_name_Hall '-I 2b 2'
loop_
_atom_site_label
_atom_site_type_symbol
_atom_site_fract_x
_atom_site_fract_y
_atom_site_fract_z
_atom_site_occupancy
Rb1 Rb 0.000 0.000 0.000 1
Rb2 Rb 0.250 0.250 0.250 1
Pu1 Pu 0.000 0.000 0.500 1
As1 As 0.250 0.250 0.750 1
S1 S 0.000 0.047 0.733 1
S2 S 0.213 0.250 0.525 1
```

Calculated values
ΔE_f (raw): -728 kJ/mol of formula units

5.
Computed, not measured: crystalline RbPuTe3As at its relaxed geometry at the PBE-GGA level of DFT.

Structure (CIF):
```
data_RbPuTe3As
_chemical_formula_sum 'Rb2 Pu2 Te6 As2'
_cell_length_a 9.085
_cell_length_b 4.271
_cell_length_c 10.745
_cell_angle_alpha 90.00
_cell_angle_beta 94.24
_cell_angle_gamma 90.00
_space_group_name_H-M_alt 'P 1 21/m 1'
_space_group_IT_number 11
loop_
_space_group_symop_operation_xyz
'x,y,z'
'-x,-y,-z'
'-x,y+1/2,-z'
'x,-y+1/2,z'
loop_
_atom_site_label
_atom_site_type_symbol
_atom_site_fract_x
_atom_site_fract_y
_atom_site_fract_z
_atom_site_occupancy
Rb1 Rb 0.151 0.250 0.315 1
Pu1 Pu 0.367 0.750 0.843 1
Te1 Te 0.119 0.250 0.889 1
Te2 Te 0.390 0.750 0.133 1
Te3 Te 0.395 0.750 0.554 1
As1 As 0.206 0.250 0.660 1
```

Calculated values
ΔE_f (raw): -385 kJ/mol of formula units

6.
Computed, not measured: crystalline Pu2ReAs at its relaxed geometry at the PBE-GGA level of DFT.

Structure (CIF):
```
data_Pu2ReAs
_chemical_formula_sum 'Pu6 Re3 As3'
_cell_length_a 2.9237
_cell_length_b 2.9237
_cell_length_c 31.9884
_cell_angle_alpha 90.00
_cell_angle_beta 90.00
_cell_angle_gamma 120.00
_space_group_name_H-M_alt 'R -3 m'
_space_group_IT_number 166
_space_group_name_Hall '-R 3 2"'
loop_
_atom_site_label
_atom_site_type_symbol
_atom_site_fract_x
_atom_site_fract_y
_atom_site_fract_z
_atom_site_occupancy
Pu1 Pu 0.0000 0.0000 0.0853 1
Re1 Re 0.0000 0.0000 0.0000 1
As1 As 0.0000 0.0000 0.5000 1
```

Calculated values
E: -132.74 eV/cell